A relaxed Zr3Zn3Ni2Ir crystal. Source: OQMD, functional PBE-GGA.

Output
For the energy of formation from the pure elements, the calculation gives -0.459 eV/atom. The total magnetization is 0.00 μB/cell. The total DFT energy (no corrections) comes out at -5.951 eV/atom.

Lattice parameters (Å, degrees): 7.0160 7.0160 3.4332 90.00 90.00 120.00
Space group P-62m (No. 189)
One atom of each set of equivalent atoms:
Zr 0.0000 0.6024 0.0000 (multiplicity 3)
Zn 0.0000 0.2773 0.5000 (multiplicity 3)
Ni 0.3333 0.6667 0.5000 (multiplicity 2)
Ir 0.0000 0.0000 0.0000 (multiplicity 1)